# 1
Below is a relaxed structure of Sc5Fe3, with properties calculated at the PBE level.

Cell lengths 7.131, 9.280, 4.267 Å; angles 90.00, 90.00, 90.00 degrees
Fractional coordinates of all 16 atoms:
Sc 0.000 0.000 0.000
Sc 0.205 0.500 0.500
Sc 0.250 0.250 0.000
Sc 0.250 0.750 0.000
Sc 0.295 0.000 0.500
Sc 0.500 0.500 0.000
Sc 0.705 0.000 0.500
Sc 0.750 0.250 0.000
Sc 0.750 0.750 0.000
Sc 0.795 0.500 0.500
Fe 0.000 0.215 0.500
Fe 0.000 0.500 0.000
Fe 0.000 0.785 0.500
Fe 0.500 0.000 0.000
Fe 0.500 0.285 0.500
Fe 0.500 0.715 0.500

Output
Calculated formation energy = 0.03 eV/atom
Calculated total energy = -0.52168 Ry/atom
Symmetry = Cmmm (65)
Calculated volume = 17.648 A^3/atom
Total magnetization = 1.92 μB/f.u.

---

# 2
Below is a relaxed structure of Sc4Fe3, with properties calculated at the PBE level.

Cell lengths 5.080, 5.080, 5.400 Å; angles 90.00, 90.00, 120.00 degrees
Fractional coordinates of all 7 atoms:
Sc 0.000 0.000 0.243
Sc 0.000 0.000 0.757
Sc 0.333 0.667 0.500
Sc 0.667 0.333 0.500
Fe 0.000 0.500 0.000
Fe 0.500 0.000 0.000
Fe 0.500 0.500 0.000

Output
Calculated formation energy = 0.04 eV/atom
Calculated total energy = -0.52950 Ry/atom
Symmetry = P6/mmm (191)
Calculated volume = 17.240 A^3/atom
Total magnetization = 4.19 μB/f.u.

---

# 3
Below is a relaxed structure of Sc3Fe, with properties calculated at the PBE level.

Cell lengths 4.238, 4.238, 9.034 Å; angles 90.00, 90.00, 90.00 degrees
Fractional coordinates of all 8 atoms:
Sc 0.000 0.000 0.000
Sc 0.000 0.500 0.250
Sc 0.000 0.500 0.750
Sc 0.500 0.000 0.250
Sc 0.500 0.000 0.750
Sc 0.500 0.500 0.500
Fe 0.000 0.000 0.500
Fe 0.500 0.500 0.000

Output
Calculated formation energy = 0.19 eV/atom
Calculated total energy = -0.49088 Ry/atom
Symmetry = I4/mmm (139)
Calculated volume = 20.283 A^3/atom
Total magnetization = 1.25 μB/f.u.